## PuNbRh2 (PBE)

Data for a relaxed PuNbRh2 crystal.

The structure in extended XYZ format:
```
16
Lattice="6.607 0.000 0.000 0.000 6.607 0.000 0.000 0.000 6.607" Properties=species:S:1:pos:R:3 pbc="T T T"
Pu 0.000 0.000 0.000
Pu 0.000 3.303 3.303
Pu 3.303 0.000 3.303
Pu 3.303 3.303 0.000
Nb 0.000 0.000 3.303
Nb 0.000 3.303 0.000
Nb 3.303 0.000 0.000
Nb 3.303 3.303 3.303
Rh 1.652 1.652 1.652
Rh 1.652 1.652 4.955
Rh 1.652 4.955 1.652
Rh 1.652 4.955 4.955
Rh 4.955 1.652 1.652
Rh 4.955 1.652 4.955
Rh 4.955 4.955 1.652
Rh 4.955 4.955 4.955
```

DFT formation energy (meV/atom): -227
ΔE to the lowest computed polymorph (eV per formula unit): 0.47

***

## SmZrSe2O (PBE)

Data for a relaxed SmZrSe2O crystal.

The structure in extended XYZ format:
```
10
Lattice="3.910 0.000 0.000 0.000 3.910 0.000 0.000 0.000 13.752" Properties=species:S:1:pos:R:3 pbc="T T T"
Sm 0.978 0.978 1.201
Sm 2.933 2.933 12.550
Zr 0.978 0.978 8.224
Zr 2.933 2.933 5.528
Se 0.978 0.978 5.393
Se 0.978 0.978 10.830
Se 2.933 2.933 2.921
Se 2.933 2.933 8.358
O 0.978 2.933 0.000
O 2.933 0.978 0.000
```

Formation energy from raw total energies (kJ per mole of atoms): -204

***

## KRuCl2 (PBE)

Data for a relaxed KRuCl2 crystal.

The structure in extended XYZ format:
```
8
Lattice="3.990 0.000 0.000 0.000 3.990 0.000 0.000 0.000 13.749" Properties=species:S:1:pos:R:3 pbc="T T T"
K 0.000 0.000 0.000
K 1.995 1.995 6.875
Ru 0.000 1.995 10.312
Ru 1.995 0.000 3.437
Cl 0.000 0.000 6.875
Cl 0.000 1.995 3.437
Cl 1.995 0.000 10.312
Cl 1.995 1.995 0.000
```

Formation energy from raw total energies (kJ per mole of atoms): -8
ΔE to the lowest computed polymorph (eV per formula unit): 1.57

***

## TaRe5 (PBE)

Data for a relaxed TaRe5 crystal.

The structure in extended XYZ format:
```
6
Lattice="5.072 0.000 0.000 -2.536 4.393 0.000 0.000 0.000 4.549" Properties=species:S:1:pos:R:3 pbc="T T T"
Ta 0.000 0.000 0.000
Re -1.268 2.196 2.275
Re 0.000 2.929 0.000
Re 2.536 0.000 2.275
Re 1.268 2.196 2.275
Re 2.536 1.464 0.000
```

DFT formation energy (meV/atom): 363
ΔE to the lowest computed polymorph (eV per formula unit): 2.05

***

## Sm2TlZn2 (PBE)

Data for a relaxed Sm2TlZn2 crystal.

The structure in extended XYZ format:
```
10
Lattice="5.556 -2.308 0.000 5.556 2.308 0.000 -4.865 0.000 9.681" Properties=species:S:1:pos:R:3 pbc="T T T"
Sm -1.447 0.000 3.191
Sm 1.613 0.000 0.904
Sm 4.634 0.000 8.777
Sm 7.694 0.000 6.490
Tl -0.166 0.000 6.401
Tl 6.413 0.000 3.279
Zn 1.984 0.000 4.277
Zn 4.729 0.000 1.044
Zn 1.518 0.000 8.636
Zn 4.263 0.000 5.403
```

DFT formation energy (meV/atom): -288

***

## Ba4Na (PBE)

Data for a relaxed Ba4Na crystal.

The structure in extended XYZ format:
```
5
Lattice="0.000 3.206 14.807 3.130 0.000 14.807 3.130 3.206 0.000" Properties=species:S:1:pos:R:3 pbc="T T T"
Ba 3.130 3.206 2.517
Ba 3.130 3.206 9.027
Ba 3.130 3.206 20.587
Ba 3.130 3.206 27.098
Na 3.130 3.206 14.807
```

DFT formation energy (meV/atom): 22
ΔE to the lowest computed polymorph (eV per formula unit): 0.00